## RbHgF3 (PBE)

Data for RbHgF3 after structural relaxation.

Properties
Its magnetic moment is 0.00 μB per formula unit. As for the mass density: 6.88 g/cm³. The calculation puts the calculated volume at 16.56 Å³ per atom. For the uncorrected formation energy, the calculation gives -1805 meV/atom.

Unit cell a=4.4327 b=4.4327 c=9.7319 alpha=90.00 beta=90.00 gamma=120.00
Space group P6_3/mmc (No. 194)
One atom of each set of equivalent atoms:
Rb (0.3333, 0.6667, 0.2500) [2 per cell]
Hg (0.0000, 0.0000, 0.0000) [2 per cell]
F (0.0000, 0.0000, 0.2500) [2 per cell]
F (0.3333, 0.6667, 0.5525) [4 per cell]